Entry from Alexandria: a relaxed structure of TiNi3Pt4 (PBE-GGA).

The value obtained for the total magnetization is 0.000 μB/f.u. As for the energy relative to the elements: -0.206 eV per atom. As for the electronic total energy: -6.38 eV/atom. The density of states at the Fermi level comes out at 1.1521 states/eV per atom. The calculation puts the offset from the most stable computed form at 248.6 meV/atom.

It has space group Immm (No. 71), with a = 2.767 Å, b = 7.702 Å, c = 10.822 Å, α = 90.00°, β = 90.00° and γ = 90.00°. The asymmetric unit holds Ti at (0.000, 0.000, 0.000), Ni at (0.000, 0.000, 0.500), Ni at (0.000, 0.500, 0.314) and Pt at (0.000, 0.283, 0.132).


Entry from Alexandria: a relaxed structure of Ti2Ni2Pt (PBE-GGA).

The value obtained for the total magnetization is 0.000 μB/f.u. As for the energy relative to the elements: -0.322 eV per atom. As for the electronic total energy: -7.00 eV/atom. The density of states at the Fermi level comes out at 0.7005 states/eV per atom. The calculation puts the offset from the most stable computed form at 312.5 meV/atom.

It has space group P4/mbm (No. 127), with a = 7.090 Å, b = 7.090 Å, c = 2.854 Å, α = 90.00°, β = 90.00° and γ = 90.00°. The asymmetric unit holds Ti at (0.161, 0.339, 0.000), Ni at (0.130, 0.630, 0.500) and Pt at (0.000, 0.000, 0.000).


Entry from Alexandria: a relaxed structure of TiNi3Pt (PBE-GGA).

The value obtained for the total magnetization is 0.000 μB/f.u. As for the energy relative to the elements: -0.324 eV per atom. As for the electronic total energy: -6.58 eV/atom. The density of states at the Fermi level comes out at 1.2075 states/eV per atom. The calculation puts the offset from the most stable computed form at 101.7 meV/atom.

It has space group P2_1/m (No. 11), with a = 4.538 Å, b = 4.784 Å, c = 6.433 Å, α = 90.00°, β = 109.72° and γ = 90.00°. The asymmetric unit holds Ti at (0.065, 0.250, 0.338), Ni at (0.347, 0.750, 0.466), Ni at (0.480, 0.001, 0.804) and Pt at (0.055, 0.250, 0.908).


Entry from Alexandria: a relaxed structure of Ti2NiPt5 (PBE-GGA).

The value obtained for the total magnetization is 0.000 μB/f.u. As for the energy relative to the elements: -0.830 eV per atom. As for the electronic total energy: -7.30 eV/atom. The density of states at the Fermi level comes out at 0.1640 states/eV per atom.

It has space group Pbam (No. 55), with a = 5.516 Å, b = 11.014 Å, c = 3.916 Å, α = 90.00°, β = 90.00° and γ = 90.00°. The asymmetric unit holds Ti at (0.249, 0.122, 0.000), Ni at (0.000, 0.000, 0.500), Pt at (0.000, 0.500, 0.500), Pt at (0.011, 0.246, 0.500) and Pt at (0.236, 0.881, 0.000).


Entry from Alexandria: a relaxed structure of Ti6Ni12Pt (PBE-GGA).

The value obtained for the total magnetization is 0.000 μB/f.u. As for the energy relative to the elements: -0.043 eV per atom. As for the electronic total energy: -6.51 eV/atom. The density of states at the Fermi level comes out at 0.6674 states/eV per atom.

It has space group R-3m (No. 166, hexagonal axes), with a = 11.1531 Å, b = 11.1531 Å, c = 7.3534 Å, α = 90.00°, β = 90.00° and γ = 120.00°. The asymmetric unit holds Ti at (0.0340, 0.5170, 0.2103), Ni at (0.0000, 0.3914, 0.5000), Ni at (0.0721, 0.1441, 0.2976) and Pt at (0.0000, 0.0000, 0.0000).


Entry from Alexandria: a relaxed structure of Ti2Ni6Pt (PBE-GGA).

The value obtained for the total magnetization is 0.774 μB/f.u. As for the energy relative to the elements: -0.217 eV per atom. As for the electronic total energy: -6.50 eV/atom. The density of states at the Fermi level comes out at 1.3039 states/eV per atom.

It has space group P-3m1 (No. 164), with a = 4.8366 Å, b = 4.8366 Å, c = 5.8296 Å, α = 90.00°, β = 90.00° and γ = 120.00°. The asymmetric unit holds Ti at (0.3333, 0.6667, 0.1500), Ni at (0.1734, 0.3468, 0.6634) and Pt at (0.0000, 0.0000, 0.0000).


Entry from Alexandria: a relaxed structure of TiZnNiPt (PBE-GGA).

The value obtained for the total magnetization is 0.000 μB/f.u. As for the energy relative to the elements: -0.631 eV per atom. As for the electronic total energy: -5.88 eV/atom. The density of states at the Fermi level comes out at 0.3151 states/eV per atom.

It has space group I-4m2 (No. 119), with a = 3.890 Å, b = 3.890 Å, c = 7.357 Å, α = 90.00°, β = 90.00° and γ = 90.00°. The asymmetric unit holds Ti at (0.000, 0.000, 0.000), Zn at (0.000, 0.000, 0.500), Ni at (0.000, 0.500, 0.750) and Pt at (0.000, 0.500, 0.250).


Entry from Alexandria: a relaxed structure of ZrTiNiPt (PBE-GGA).

The value obtained for the total magnetization is 0.001 μB/f.u. As for the energy relative to the elements: -0.585 eV per atom. As for the electronic total energy: -7.65 eV/atom. The density of states at the Fermi level comes out at 1.2378 states/eV per atom.

It has space group F-43m (No. 216), with a = 6.418 Å, b = 6.418 Å, c = 6.418 Å, α = 90.00°, β = 90.00° and γ = 90.00°. The asymmetric unit holds Zr at (0.000, 0.000, 0.000), Ti at (0.000, 0.000, 0.500), Ni at (0.250, 0.250, 0.250) and Pt at (0.250, 0.250, 0.750).